[1]
Material: Sc2CoRu2
Method: DFT, GGA-PBE
State: relaxed

```
Sc2CoRu2
1.0
-4.9099 -0.9988 -3.9479
2.3304 -5.7606 -1.4408
-2.1619 -1.6516 3.1065
Sc Ru Co
4 4 2
direct
0.1773 0.6773 0.5000
0.6773 0.8227 0.5000
0.8227 0.3227 0.5000
0.3227 0.1773 0.5000
0.3604 0.8604 0.0000
0.8604 0.6396 0.0000
0.6396 0.1396 0.0000
0.1396 0.3604 0.0000
0.0000 0.0000 0.0000
0.5000 0.5000 0.0000
```

Distance to the lowest polymorph of the same formula ... 0.0 meV per atom
Magnetic moment ... 2.94 μB per cell
Energy of formation ... -0.23 eV/atom

=====

[2]
Material: GeO2
Method: DFT, GGA-PBE
State: relaxed

```
GeO2
1.0
2.9077 0.0000 0.0000
0.0000 4.4812 0.0000
0.0000 0.0000 4.4875
Ge O
2 4
direct
0.5000 0.5000 0.5000
0.0000 0.0000 0.0000
0.0000 0.3062 0.3079
0.5000 0.8062 0.1921
0.5000 0.1938 0.8079
0.0000 0.6938 0.6921
```

Uncorrected formation energy ... -1.61 eV/atom
Magnetic moment ... 0.00 μB per cell

=====

[3]
Material: BaBe2Rh
Method: DFT, GGA-PBE
State: relaxed

```
BaBe2Rh
1.0
3.1864 0.0000 0.0000
0.0000 3.1864 0.0000
0.0000 0.0000 7.1320
Be Rh Ba
2 1 1
direct
0.0000 0.0000 0.0948
0.5000 0.5000 0.2746
0.0000 0.0000 0.3876
0.5000 0.5000 0.7430
```

Distance to the lowest polymorph of the same formula ... 394.9 meV per atom
Magnetic moment ... 0.00 μB per cell
Energy of formation ... 0.20 eV/atom

=====

[4]
Material: LiGdErTm
Method: DFT, GGA-PBE
State: relaxed

```
LiGdErTm
1.0
-4.9796 -0.6504 -2.0856
-3.7629 -2.7869 2.7645
-4.2337 2.6018 2.2081
Er Gd Tm Li
1 1 1 1
direct
0.7500 0.7500 0.7500
0.2500 0.2500 0.2500
0.5000 0.5000 0.5000
0.0000 0.0000 0.0000
```

Magnetic moment ... 7.23 μB per cell
Energy of formation ... 0.16 eV/atom

=====

Copy entry 4 word for word.
Material: LiGdErTm
Method: DFT, GGA-PBE
State: relaxed

```
LiGdErTm
1.0
-4.9796 -0.6504 -2.0856
-3.7629 -2.7869 2.7645
-4.2337 2.6018 2.2081
Er Gd Tm Li
1 1 1 1
direct
0.7500 0.7500 0.7500
0.2500 0.2500 0.2500
0.5000 0.5000 0.5000
0.0000 0.0000 0.0000
```

Magnetic moment ... 7.23 μB per cell
Energy of formation ... 0.16 eV/atom